(1)
DFT (GGA-PBE) results for a geometry-optimized Nd2Dy2Te5 structure.

a = 11.1413 Å, b = 11.1413 Å, c = 11.1413 Å
α = 63.23°, β = 133.39°, γ = 139.76°
Last column: nearest neighbours and their distance in Å.
Atoms (fractional coordinates):
Nd 0.0723 0.0891 0.1614  5 Te 3.14-3.34
Nd 0.0723 0.4109 0.4832  5 Te 3.14-3.34
Nd 0.9277 0.5891 0.5168  5 Te 3.14-3.34
Nd 0.9277 0.9109 0.8386  5 Te 3.14-3.34
Dy 0.3547 0.7123 0.1424  4 Te 2.96-3.01
Dy 0.5458 0.0458 0.5000  6 Te 3.02-3.06
Dy 0.5458 0.5458 0.0000  6 Te 3.02-3.06
Dy 0.5699 0.2123 0.8576  4 Te 2.96-3.01
Te 0.0097 0.3253 0.1844  2 Dy 2.99-3.01, 2 Nd 3.34
Te 0.0375 0.2870 0.8248  2 Dy 3.02-3.06, 2 Nd 3.31
Te 0.0375 0.7127 0.2505  2 Dy 3.02-3.06, 2 Nd 3.31
Te 0.1409 0.8253 0.8156  2 Dy 2.99-3.01, 2 Nd 3.34
Te 0.4622 0.2127 0.1752  2 Dy 3.02-3.06, 2 Nd 3.31
Te 0.4622 0.7870 0.7495  2 Dy 3.02-3.06, 2 Nd 3.31
Te 0.5052 0.2656 0.5382  2 Dy 2.96-3.05, 2 Nd 3.14-3.17
Te 0.5052 0.4670 0.7396  2 Dy 2.96-3.05, 2 Nd 3.14-3.17
Te 0.7273 0.7656 0.2604  2 Dy 2.96-3.05, 2 Nd 3.14-3.17
Te 0.7273 0.9670 0.4618  2 Dy 2.96-3.05, 2 Nd 3.14-3.17

energy above the lowest structure with this stoichiometry = 102 meV/atom
space group = No. 46
calculated volume = 35.6 A^3/atom
formation energy without anion corrections = -1224 meV/atom
E = -5.051 eV/atom
calculated density = 6.48 g/cm3

=====

(2)
DFT (GGA-PBE) results for a geometry-optimized AlPtSCl2 structure.

a = 5.0793 Å, b = 5.0793 Å, c = 4.5687 Å
α = 90.00°, β = 90.00°, γ = 90.00°
Last column: nearest neighbours and their distance in Å.
Atoms (fractional coordinates):
Al 0.0000 0.0000 0.0000  8 Cl 3.42, 4 S 3.59
Pt 0.5000 0.5000 0.5000  2 S 2.28, 4 Cl 2.54
S 0.5000 0.5000 0.0000  2 Pt 2.28
Cl 0.0000 0.5000 0.5000  2 Pt 2.54
Cl 0.5000 0.0000 0.5000  2 Pt 2.54

energy above the lowest structure with this stoichiometry = 0 meV/atom
space group = No. 123
calculated volume = 23.6 A^3/atom
formation energy without anion corrections = 40 meV/atom
E = -3.481 eV/atom
calculated density = 4.58 g/cm3

=====

(3)
DFT (GGA-PBE) results for a geometry-optimized BaCd3Ru structure.

a = 6.3310 Å, b = 6.3310 Å, c = 6.3310 Å
α = 90.00°, β = 90.00°, γ = 90.00°
Last column: nearest neighbours and their distance in Å.
Atoms (fractional coordinates):
Ba 0.0000 0.0000 0.0000  6 Cd 3.17
Cd 0.0000 0.0000 0.5000  2 Ba 3.17
Cd 0.0000 0.5000 0.0000  2 Ba 3.17
Cd 0.5000 0.0000 0.0000  2 Ba 3.17
Ru 0.5000 0.5000 0.5000  12 Cd 4.48

energy above the lowest structure with this stoichiometry = 1610 meV/atom
space group = No. 221
calculated volume = 50.8 A^3/atom
E = -1.180 eV/atom
calculated density = 3.77 g/cm3

=====

(4)
DFT (GGA-PBE) results for a geometry-optimized Li2TbDy structure.

a = 3.7154 Å, b = 3.7154 Å, c = 7.4244 Å
α = 90.00°, β = 90.00°, γ = 90.00°
Last column: nearest neighbours and their distance in Å.
Atoms (fractional coordinates):
Li 0.0000 0.0000 0.2504  4 Dy 3.22, 4 Tb 3.22
Li 0.0000 0.0000 0.7496  4 Dy 3.22, 4 Tb 3.22
Tb 0.5000 0.5000 0.0000  8 Li 3.22
Dy 0.5000 0.5000 0.5000  8 Li 3.22

energy above the lowest structure with this stoichiometry = 0 meV/atom
space group = No. 123
calculated volume = 25.6 A^3/atom
E = -3.110 eV/atom
calculated density = 5.43 g/cm3

=====

(5)
DFT (GGA-PBE) results for a geometry-optimized Sr2In4Ga3Hg structure.

a = 4.7553 Å, b = 4.7553 Å, c = 11.7721 Å
α = 90.00°, β = 90.00°, γ = 90.00°
Last column: nearest neighbours and their distance in Å.
Atoms (fractional coordinates):
Sr 0.0000 0.5000 0.2461  8 In 3.60-3.82, 6 Ga 3.64-3.75, 2 Hg 3.75
Sr 0.5000 0.0000 0.7539  8 In 3.60-3.82, 6 Ga 3.64-3.75, 2 Hg 3.75
In 0.0000 0.0000 0.5000  4 Ga 2.87
In 0.0000 0.5000 0.8635  3 Ga 2.68-2.87, 2 Hg 2.87
In 0.5000 0.0000 0.1365  3 Ga 2.68-2.87, 2 Hg 2.87
In 0.5000 0.5000 0.5000  4 Ga 2.87
Ga 0.0000 0.0000 0.0000  4 In 2.87
Ga 0.0000 0.5000 0.6361  5 In 2.68-2.87
Ga 0.5000 0.0000 0.3639  5 In 2.68-2.87
Hg 0.5000 0.5000 0.0000  4 In 2.87

space group = No. 115
calculated volume = 26.6 A^3/atom
E = -2.682 eV/atom
calculated density = 6.51 g/cm3

=====

(6)
DFT (GGA-PBE) results for a geometry-optimized BeAlTlAu6 structure.

a = 8.1471 Å, b = 8.1471 Å, c = 8.1471 Å
α = 122.60°, β = 117.36°, γ = 90.09°
Last column: nearest neighbours and their distance in Å.
Atoms (fractional coordinates):
Be 0.0000 0.0000 0.0000  6 Au 2.34-2.36
Be 0.5000 0.0000 0.5000  6 Au 2.34-2.36
Al 0.5000 0.0000 0.0000  6 Au 2.53-2.54
Al 0.5000 0.5000 0.5000  6 Au 2.53-2.54
Tl 0.0968 0.3468 0.7500  6 Au 2.95-3.03
Tl 0.9032 0.6532 0.2500  6 Au 2.95-3.03
Au 0.1286 0.3609 0.2437  1 Be 2.34, 1 Al 2.54
Au 0.1286 0.8849 0.7677  1 Be 2.34, 1 Al 2.54
Au 0.1593 0.9093 0.2500  2 Be 2.36
Au 0.3600 0.6100 0.7500  2 Al 2.53
Au 0.3828 0.1151 0.7437  1 Be 2.34, 1 Al 2.54
Au 0.3828 0.6391 0.2677  1 Be 2.34, 1 Al 2.54
Au 0.6172 0.3609 0.7323  1 Be 2.34, 1 Al 2.54
Au 0.6172 0.8849 0.2563  1 Be 2.34, 1 Al 2.54
Au 0.6400 0.3900 0.2500  2 Al 2.53
Au 0.8407 0.0907 0.7500  2 Be 2.36
Au 0.8714 0.1151 0.2323  1 Be 2.34, 1 Al 2.54
Au 0.8714 0.6391 0.7563  1 Be 2.34, 1 Al 2.54

space group = No. 74
calculated volume = 21.2 A^3/atom
E = -3.321 eV/atom
calculated density = 12.38 g/cm3

=====

(7)
DFT (GGA-PBE) results for a geometry-optimized Li3TmHg2 structure.

a = 7.6706 Å, b = 7.6706 Å, c = 9.4225 Å
α = 122.56°, β = 122.56°, γ = 31.70°
Last column: nearest neighbours and their distance in Å.
Atoms (fractional coordinates):
Li 0.0641 0.0641 0.4127  5 Li 2.71-3.00, 3 Hg 2.75-2.87
Li 0.2610 0.2610 0.4122  6 Li 2.80-3.05, 5 Hg 2.88-3.10
Li 0.4244 0.4244 0.3107  3 Hg 2.66-2.84, 3 Li 2.71-2.97
Li 0.5756 0.5756 0.6893  3 Hg 2.66-2.84, 3 Li 2.71-2.97
Li 0.7390 0.7390 0.5878  6 Li 2.80-3.05, 5 Hg 2.88-3.10
Li 0.9359 0.9359 0.5873  5 Li 2.71-3.00, 3 Hg 2.75-2.87
Tm 0.1216 0.1216 0.9974  7 Hg 3.07-3.26, 4 Li 3.24-3.33
Tm 0.8784 0.8784 0.0026  7 Hg 3.07-3.26, 4 Li 3.24-3.33
Hg 0.2055 0.2055 0.7639  5 Li 2.66-2.88
Hg 0.4242 0.4242 0.7844  6 Li 2.84-3.10, 1 Hg 3.12
Hg 0.5758 0.5758 0.2156  6 Li 2.84-3.10, 1 Hg 3.12
Hg 0.7945 0.7945 0.2361  5 Li 2.66-2.88

space group = No. 12
calculated volume = 20.1 A^3/atom
E = -2.098 eV/atom
calculated density = 8.13 g/cm3

=====

(8)
DFT (GGA-PBE) results for a geometry-optimized CaTb8Ho4 structure.

a = 6.1771 Å, b = 6.1771 Å, c = 14.7138 Å
α = 93.90°, β = 93.90°, γ = 48.20°
Last column: nearest neighbours and their distance in Å.
Atoms (fractional coordinates):
Ca 0.0000 0.0000 0.0000  8 Tb 3.58-3.63, 4 Ho 3.64
Tb 0.0765 0.0765 0.7650  4 Ho 3.50-3.60, 7 Tb 3.54-3.58, 1 Ca 3.63
Tb 0.2331 0.2331 0.3089  7 Tb 3.51-3.58, 5 Ho 3.51-3.56
Tb 0.3072 0.3072 0.0811  5 Tb 3.51-3.64, 4 Ho 3.53-3.69, 3 Ca 3.58-3.59
Tb 0.4616 0.4616 0.6144  6 Ho 3.52-3.58, 6 Tb 3.54-3.58
Tb 0.5384 0.5384 0.3856  6 Ho 3.52-3.58, 6 Tb 3.54-3.58
Tb 0.6928 0.6928 0.9189  5 Tb 3.51-3.64, 4 Ho 3.53-3.69, 3 Ca 3.58-3.59
Tb 0.7669 0.7669 0.6911  7 Tb 3.51-3.58, 5 Ho 3.51-3.56
Tb 0.9235 0.9235 0.2350  4 Ho 3.50-3.60, 7 Tb 3.54-3.58, 1 Ca 3.63
Ho 0.1529 0.1529 0.5380  9 Tb 3.51-3.58, 3 Ho 3.55-3.57
Ho 0.3787 0.3787 0.8402  10 Tb 3.50-3.69, 2 Ca 3.64
Ho 0.6213 0.6213 0.1598  10 Tb 3.50-3.69, 2 Ca 3.64
Ho 0.8471 0.8471 0.4620  9 Tb 3.51-3.58, 3 Ho 3.55-3.57

space group = No. 12
calculated volume = 32.1 A^3/atom
E = -4.367 eV/atom
calculated density = 7.84 g/cm3

=====

Please write out number 2 again, unchanged.
DFT (GGA-PBE) results for a geometry-optimized AlPtSCl2 structure.

a = 5.0793 Å, b = 5.0793 Å, c = 4.5687 Å
α = 90.00°, β = 90.00°, γ = 90.00°
Last column: nearest neighbours and their distance in Å.
Atoms (fractional coordinates):
Al 0.0000 0.0000 0.0000  8 Cl 3.42, 4 S 3.59
Pt 0.5000 0.5000 0.5000  2 S 2.28, 4 Cl 2.54
S 0.5000 0.5000 0.0000  2 Pt 2.28
Cl 0.0000 0.5000 0.5000  2 Pt 2.54
Cl 0.5000 0.0000 0.5000  2 Pt 2.54

energy above the lowest structure with this stoichiometry = 0 meV/atom
space group = No. 123
calculated volume = 23.6 A^3/atom
formation energy without anion corrections = 40 meV/atom
E = -3.481 eV/atom
calculated density = 4.58 g/cm3

=====

> Number 3 is which compound?

BaCd3Ru

=====

What did the seventh record say?
DFT (GGA-PBE) results for a geometry-optimized Li3TmHg2 structure.

a = 7.6706 Å, b = 7.6706 Å, c = 9.4225 Å
α = 122.56°, β = 122.56°, γ = 31.70°
Last column: nearest neighbours and their distance in Å.
Atoms (fractional coordinates):
Li 0.0641 0.0641 0.4127  5 Li 2.71-3.00, 3 Hg 2.75-2.87
Li 0.2610 0.2610 0.4122  6 Li 2.80-3.05, 5 Hg 2.88-3.10
Li 0.4244 0.4244 0.3107  3 Hg 2.66-2.84, 3 Li 2.71-2.97
Li 0.5756 0.5756 0.6893  3 Hg 2.66-2.84, 3 Li 2.71-2.97
Li 0.7390 0.7390 0.5878  6 Li 2.80-3.05, 5 Hg 2.88-3.10
Li 0.9359 0.9359 0.5873  5 Li 2.71-3.00, 3 Hg 2.75-2.87
Tm 0.1216 0.1216 0.9974  7 Hg 3.07-3.26, 4 Li 3.24-3.33
Tm 0.8784 0.8784 0.0026  7 Hg 3.07-3.26, 4 Li 3.24-3.33
Hg 0.2055 0.2055 0.7639  5 Li 2.66-2.88
Hg 0.4242 0.4242 0.7844  6 Li 2.84-3.10, 1 Hg 3.12
Hg 0.5758 0.5758 0.2156  6 Li 2.84-3.10, 1 Hg 3.12
Hg 0.7945 0.7945 0.2361  5 Li 2.66-2.88

space group = No. 12
calculated volume = 20.1 A^3/atom
E = -2.098 eV/atom
calculated density = 8.13 g/cm3